1.
Entry from the Alexandria database: an optimized crystal structure of Dy5IrS4 (PBE).

## Properties
D(E_F) ... 4.92 states/eV per cell
Formation energy without anion corrections ... -1.720 eV per atom
Total magnetic moment ... 0.000 μB/atom

Geometry as POSCAR:
```
Dy5IrS4
1.0
-1.9712 1.9712 14.0249
1.9712 -1.9712 14.0249
1.9712 1.9712 -14.0249
Dy Ir S
5 1 4
Cartesian
0.0000 0.0000 0.0000
0.0000 0.0000 5.7021
0.0000 0.0000 11.2782
0.0000 0.0000 16.7717
0.0000 0.0000 22.3477
0.0000 0.0000 14.0249
0.0000 0.0000 2.9256
0.0000 0.0000 8.4783
0.0000 0.0000 19.5716
0.0000 0.0000 25.1242
```


2.
Entry from the Alexandria database: an optimized crystal structure of Sm5Tm (PBE).

## Properties
Formation energy from the elements ... 0.016 eV/atom
D(E_F) ... 15.37 states/eV per cell
Total magnetic moment ... 0.000 μB/atom

Geometry as POSCAR:
```
Sm5Tm
1.0
5.0966 0.0000 0.0000
0.0000 10.8014 0.0000
0.0000 0.0000 7.2141
Sm Tm
10 2
Cartesian
1.2741 0.8968 0.8961
1.2741 0.9118 4.5162
1.2741 4.4889 4.5162
1.2741 4.5039 0.8961
1.2741 8.1010 4.5139
3.8224 2.7003 2.7002
3.8224 6.2975 6.3180
3.8224 6.3125 2.6979
3.8224 9.8896 2.6979
3.8224 9.9046 6.3180
1.2741 8.1010 0.8929
3.8224 2.7003 6.3212
```


3.
Entry from the Alexandria database: an optimized crystal structure of Ac2TbPt2 (PBE).

## Properties
Formation energy from the elements ... -0.938 eV/atom
D(E_F) ... 8.60 states/eV per cell
Total magnetic moment ... 0.000 μB/atom

Geometry as POSCAR:
```
Ac2TbPt2
1.0
-4.1507 5.7243 3.2859
4.1507 -5.7243 3.2859
4.1507 5.7243 -3.2859
Ac Tb Pt
4 2 4
Cartesian
1.1540 1.7564 0.0000
5.3047 3.9678 0.0000
-1.1540 1.7564 3.2859
2.9966 3.9678 3.2859
4.1507 0.0000 1.6430
0.0000 5.7243 1.6430
6.2850 1.1500 0.0000
2.1344 4.5743 0.0000
2.0163 1.1500 3.2859
-2.1344 4.5743 3.2859
```


4.
Entry from the Alexandria database: an optimized crystal structure of K2TcAg (PBE).

## Properties
Formation energy from the elements ... 1.060 eV/atom
D(E_F) ... 4.55 states/eV per cell
Energy above the most stable polymorph in this dataset ... 5.08 kcal/mol of atoms
Total magnetic moment ... 0.252 μB/atom

Geometry as POSCAR:
```
K2TcAg
1.0
1.5229 0.8792 11.6089
-1.5229 0.8792 11.6089
0.0000 -1.7584 11.6089
K Tc Ag
2 1 1
Cartesian
0.0000 0.0000 8.6549
0.0000 0.0000 26.1719
0.0000 0.0000 17.4134
0.0000 0.0000 0.0000
```


| no. | electronic total energy (eV for the cell shown) |
| --- | --- |
| 1 | -65.58 |
| 2 | -55.95 |
| 3 | -59.23 |
| 4 | -11.17 |